[1]
Below is an optimized crystal structure of Sc2PaFe2, with properties calculated at the GGA-PBE level.

Unit cell a=3.5940 b=5.6059 c=5.6055 alpha=60.58 beta=71.30 gamma=71.30
Sites, in units of the cell vectors:
Sc: 0.6978 0.8022 0.3022
Sc: 0.3022 0.1978 0.6978
Fe: 0.0000 0.7969 0.7031
Fe: 0.0000 0.2031 0.2969
Pa: 0.5000 0.5000 0.0000

## Properties
Formation energy (eV/atom): -0.264



[2]
Below is an optimized crystal structure of Pr2SbAs3Ir4, with properties calculated at the GGA-PBE level.

Unit cell a=4.2806 b=4.2806 c=10.6881 alpha=90.00 beta=90.00 gamma=90.00
Sites, in units of the cell vectors:
Pr: 0.0000 0.5000 0.7621
Pr: 0.5000 0.0000 0.2379
Ir: 0.5000 0.0000 0.6381
Ir: 0.0000 0.5000 0.3619
Ir: 0.5000 0.5000 0.0000
Ir: 0.0000 0.0000 0.0000
As: 0.0000 0.5000 0.1341
As: 0.0000 0.0000 0.5000
As: 0.5000 0.0000 0.8659
Sb: 0.5000 0.5000 0.5000

## Properties
Formation energy from raw total energies (meV per atom): -671



[3]
Below is an optimized crystal structure of BaSr2PdN, with properties calculated at the GGA-PBE level.

Unit cell a=5.1421 b=5.1421 c=5.6170 alpha=90.00 beta=90.00 gamma=90.00
Sites, in units of the cell vectors:
Sr: 0.0000 0.5000 0.0000
Sr: 0.5000 0.0000 0.0000
Ba: 0.0000 0.0000 0.5000
N: 0.0000 0.0000 0.0000
Pd: 0.5000 0.5000 0.5000

## Properties
Formation energy from raw total energies (meV per atom): -399



[4]
Below is an optimized crystal structure of Nd4NiCl5, with properties calculated at the GGA-PBE level.

Unit cell a=4.0459 b=8.4758 c=9.5146 alpha=89.44 beta=102.28 gamma=90.00
Sites, in units of the cell vectors:
Nd: 0.6458 0.9974 0.2915
Nd: 0.9998 0.2283 0.9996
Nd: 0.0002 0.7717 0.0004
Nd: 0.3542 0.0026 0.7085
Cl: 0.1575 0.2326 0.3151
Cl: 0.1576 0.7618 0.3152
Cl: 0.8425 0.7674 0.6849
Cl: 0.5000 0.5000 0.0000
Cl: 0.8424 0.2382 0.6848
Ni: 0.5000 0.0000 0.0000

## Properties
Offset from the most stable computed form (eV/f.u.): 0.23
Formation energy from raw total energies (meV per atom): -1580



[5]
Below is an optimized crystal structure of Er2AlZn4Cu3, with properties calculated at the GGA-PBE level.

Unit cell a=3.9230 b=3.9230 c=11.1679 alpha=90.00 beta=90.00 gamma=90.00
Sites, in units of the cell vectors:
Zn: 0.5000 0.0000 0.6443
Zn: 0.0000 0.5000 0.3557
Zn: 0.5000 0.5000 0.0000
Zn: 0.0000 0.0000 0.0000
Er: 0.5000 0.0000 0.2440
Er: 0.0000 0.5000 0.7560
Cu: 0.5000 0.0000 0.8592
Cu: 0.0000 0.0000 0.5000
Cu: 0.0000 0.5000 0.1408
Al: 0.5000 0.5000 0.5000

## Properties
Formation energy (eV/atom): -0.288



[6]
Below is an optimized crystal structure of BeReIr, with properties calculated at the GGA-PBE level.

Unit cell a=2.7181 b=2.7181 c=6.1460 alpha=90.00 beta=90.00 gamma=120.00
Sites, in units of the cell vectors:
Ir: 0.6667 0.3333 0.3157
Re: 0.3333 0.6667 0.6774
Be: 0.0000 0.0000 0.0068

## Properties
Offset from the most stable computed form (eV/f.u.): 0.96
Formation energy (eV/atom): 0.002



[7]
Below is an optimized crystal structure of CaNiCl2, with properties calculated at the GGA-PBE level.

Unit cell a=3.9399 b=3.9399 c=7.7331 alpha=90.00 beta=90.00 gamma=116.80
Sites, in units of the cell vectors:
Cl: 0.0000 0.0000 0.9408
Cl: 0.5000 0.5000 0.3804
Ni: 0.0000 0.0000 0.4498
Ca: 0.5000 0.5000 0.7291

## Properties
Offset from the most stable computed form (eV/f.u.): 0.94
Formation energy from raw total energies (meV per atom): -948